16
Lattice="8.103 0.000 0.000 0.000 8.104 -0.004 -4.051 -4.048 5.732" Properties=species:S:1:pos:R:3 comment="Dy8As4P3S (GGA-PBE, relaxed)" dos_ef_per_ev_cell=3.5 raw_formation_energy_mev_per_atom=-1651 final_energy_ev_per_cell=-102.18 pbc="T T T"
Dy 4.051 0.042 2.864
Dy -2.005 2.010 5.700
Dy 4.051 4.016 2.836
Dy 0.000 0.041 2.892
Dy 6.057 2.046 0.028
Dy 2.046 2.046 0.028
Dy 0.000 4.014 2.863
Dy 2.005 2.010 5.700
As 2.026 -2.024 2.866
As 4.051 0.000 0.000
As -2.026 -2.024 2.866
As 0.000 0.000 0.000
P 2.026 2.028 2.864
P -2.026 2.028 2.864
P 4.051 4.052 -0.002
S 0.000 4.052 -0.002